Here is a relaxed Ca2CrFe crystal from Alexandria via LeMat-Bulk. Energies are from PBE.

```
Ca2CrFe
1.0
3.3685 0.0000 0.0000
-1.6843 2.9172 0.0000
0.0000 0.0000 29.9204
Ca Cr Fe
6 3 3
direct
0.0000 0.0000 0.2442
0.0000 0.0000 0.7558
0.3333 0.6667 0.4225
0.3333 0.6667 0.9109
0.6667 0.3333 0.0891
0.6667 0.3333 0.5775
0.0000 0.0000 0.0000
0.3333 0.6667 0.6667
0.6667 0.3333 0.3333
0.0000 0.0000 0.5000
0.3333 0.6667 0.1667
0.6667 0.3333 0.8333
```

## Properties
Total moment = 5.4 μB/cell
Energy of formation from the pure elements = 887 meV/atom
E = -18.541 eV per formula unit